Record 1
Here is a relaxed structure of Sm2MgIrO6 from Alexandria via LeMat-Bulk. Energies are from PBEsol.

Cell: 5.341 5.723 9.316 Å, 90.00 124.40 90.00°
Space group P2_1/c (No. 14)
Inequivalent atoms, fractional coordinates:
1 Sm 0.229 0.071 0.251 x4
2 Mg 0.500 0.000 0.000 x2
3 Ir 0.000 0.000 0.500 x2
4 O 0.133 0.201 0.946 x4
5 O 0.253 0.698 0.947 x4
6 O 0.355 0.034 0.748 x4

Values from the calculation:
E_form (uncorrected) in eV/atom: -2.537
Crystal system: monoclinic

***

Record 2
Here is a relaxed structure of Sr3MgIrO6 from Alexandria via LeMat-Bulk. Energies are from PBEsol.

Cell: 9.5854 9.5854 11.0941 Å, 90.00 90.00 120.00°
Space group R-3c (No. 167, hexagonal axes)
Inequivalent atoms, fractional coordinates:
1 Sr 0.0000 0.3647 0.2500 x18
2 Mg 0.0000 0.0000 0.2500 x6
3 Ir 0.0000 0.0000 0.0000 x6
4 O 0.0198 0.1724 0.3849 x36

Values from the calculation:
E_form (uncorrected) in eV/atom: -2.310
Crystal system: trigonal

***

Record 3
Here is a relaxed structure of MgIr2Os from Alexandria via LeMat-Bulk. Energies are from PBEsol.

Cell: 2.755 2.755 7.695 Å, 90.00 90.00 90.00°
Space group P4/mmm (No. 123)
Inequivalent atoms, fractional coordinates:
1 Mg 0.000 0.000 0.000 x1
2 Ir 0.500 0.500 0.264 x2
3 Os 0.000 0.000 0.500 x1

Values from the calculation:
Energy of formation in meV per atom: -128
Crystal system: tetragonal

***

Record 4
Here is a relaxed structure of MgIrOs2 from Alexandria via LeMat-Bulk. Energies are from PBEsol.

Cell: 2.743 4.366 10.199 Å, 90.00 90.00 90.00°
Space group Immm (No. 71)
Inequivalent atoms, fractional coordinates:
1 Mg 0.000 0.000 0.000 x2
2 Ir 0.000 0.000 0.500 x2
3 Os 0.000 0.500 0.217 x4

Values from the calculation:
Energy of formation in meV per atom: 199
Crystal system: orthorhombic

***

Record 5
Here is a relaxed structure of MgIr2Os from Alexandria via LeMat-Bulk. Energies are from PBEsol.

Cell: 5.496 7.637 2.724 Å, 90.00 90.00 90.00°
Space group Cmmm (No. 65)
Inequivalent atoms, fractional coordinates:
1 Mg 0.000 0.000 0.000 x2
2 Ir 0.250 0.250 0.500 x4
3 Os 0.000 0.500 0.000 x2

Values from the calculation:
Energy of formation in meV per atom: -58
Crystal system: orthorhombic

***

Record 6
Here is a relaxed structure of MgIr3Os from Alexandria via LeMat-Bulk. Energies are from PBEsol.

Cell: 4.320 4.320 4.320 Å, 90.00 90.00 90.00°
Space group Pm-3m (No. 221)
Inequivalent atoms, fractional coordinates:
1 Mg 0.000 0.000 0.000 x1
2 Ir 0.000 0.000 0.500 x3
3 Os 0.500 0.500 0.500 x1

Values from the calculation:
Energy of formation in meV per atom: 2172
Crystal system: cubic

***

Record 7
Here is a relaxed structure of MgIr2Os from Alexandria via LeMat-Bulk. Energies are from PBEsol.

Cell: 9.028 2.711 4.759 Å, 90.00 98.51 90.00°
Space group C2/m (No. 12)
Inequivalent atoms, fractional coordinates:
1 Mg 0.000 0.000 0.000 x2
2 Ir 0.243 0.000 0.742 x4
3 Os 0.000 0.500 0.500 x2

Values from the calculation:
Energy of formation in meV per atom: 31
Crystal system: monoclinic

***

Record 8
Here is a relaxed structure of MgIrOs2 from Alexandria via LeMat-Bulk. Energies are from PBEsol.

Cell: 2.730 4.613 4.687 Å, 90.00 94.83 90.00°
Space group P2/m (No. 10)
Inequivalent atoms, fractional coordinates:
1 Mg 0.000 0.000 0.000 x1
2 Ir 0.500 0.000 0.500 x1
3 Os 0.292 0.500 0.747 x2

Values from the calculation:
Energy of formation in meV per atom: 370
Crystal system: monoclinic

***

Record 9
Here is a relaxed structure of Mg8P8Ir23 from Alexandria via LeMat-Bulk. Energies are from PBEsol.

Cell: 8.524 3.940 16.924 Å, 90.00 90.05 90.00°
Space group P2/m (No. 10)
Inequivalent atoms, fractional coordinates:
1 Mg 0.093 0.000 0.111 x2
2 Mg 0.210 0.000 0.295 x2
3 Mg 0.286 0.000 0.790 x2
4 Mg 0.405 0.000 0.606 x2
5 P 0.131 0.500 0.878 x2
6 P 0.240 0.500 0.684 x2
7 P 0.258 0.500 0.187 x2
8 P 0.369 0.500 0.380 x2
9 Ir 0.000 0.500 0.000 x1
10 Ir 0.001 0.500 0.239 x2
11 Ir 0.096 0.500 0.396 x2
12 Ir 0.098 0.000 0.651 x2
13 Ir 0.184 0.500 0.547 x2
14 Ir 0.205 0.000 0.953 x2
15 Ir 0.290 0.000 0.453 x2
16 Ir 0.305 0.500 0.051 x2
17 Ir 0.399 0.500 0.896 x2
18 Ir 0.405 0.000 0.153 x2
19 Ir 0.498 0.500 0.738 x2
20 Ir 0.500 0.000 0.000 x1
21 Ir 0.500 0.500 0.500 x1

Values from the calculation:
Energy of formation in meV per atom: -391
Crystal system: monoclinic

***

Record 10
Here is a relaxed structure of MgP2IrS from Alexandria via LeMat-Bulk. Energies are from PBEsol.

Cell: 4.531 4.531 4.494 Å, 90.00 90.00 90.00°
Space group P4/mmm (No. 123)
Inequivalent atoms, fractional coordinates:
1 Mg 0.000 0.000 0.000 x1
2 P 0.000 0.500 0.000 x2
3 Ir 0.500 0.500 0.500 x1
4 S 0.000 0.000 0.500 x1

Values from the calculation:
E_form (uncorrected) in eV/atom: 1.415
Crystal system: tetragonal
Offset from the most stable computed form in meV per atom: 569

***

Record 11
Here is a relaxed structure of MgP2IrS from Alexandria via LeMat-Bulk. Energies are from PBEsol.

Cell: 4.396 4.396 4.361 Å, 90.00 90.00 90.00°
Space group P4/mmm (No. 123)
Inequivalent atoms, fractional coordinates:
1 Mg 0.000 0.000 0.000 x1
2 P 0.000 0.500 0.500 x2
3 Ir 0.500 0.500 0.000 x1
4 S 0.000 0.000 0.500 x1

Values from the calculation:
E_form (uncorrected) in eV/atom: 0.846
Crystal system: tetragonal
Offset from the most stable computed form in meV per atom: 0

***

Record 12
Here is a relaxed structure of MgPIr2W from Alexandria via LeMat-Bulk. Energies are from PBEsol.

Cell: 4.381 4.381 4.433 Å, 90.00 90.00 90.00°
Space group P4/mmm (No. 123)
Inequivalent atoms, fractional coordinates:
1 Mg 0.000 0.000 0.000 x1
2 P 0.500 0.500 0.500 x1
3 Ir 0.000 0.500 0.500 x2
4 W 0.500 0.500 0.000 x1

Values from the calculation:
Energy of formation in meV per atom: 459
Crystal system: tetragonal